# SrTm2Sb2 (PBE-GGA, relaxed)
data_SrTm2Sb2
_chemical_formula_sum 'Sr2 Tm4 Sb4'
_cell_length_a 5.729
_cell_length_b 5.729
_cell_length_c 10.774
_cell_angle_alpha 90.00
_cell_angle_beta 90.00
_cell_angle_gamma 90.00
_symmetry_space_group_name_H-M 'I 4/m m m'
_symmetry_Int_Tables_number 139
_symmetry_space_group_name_Hall '-I 4 2'
loop_
_atom_site_label
_atom_site_fract_x
_atom_site_fract_y
_atom_site_fract_z
_atom_site_occupancy
Sr1 0.000 0.000 0.000 1
Tm1 0.000 0.000 0.334 1
Sb1 0.000 0.500 0.250 1
# Final energy = -43.56 eV per cell
# Crystal system = tetragonal
# Calculated volume = 353.6 Å³ per cell